No. 1
# SiSbTe2 | Alexandria | PBE | relaxed
data_SiSbTe2
_cell_length_a 3.668
_cell_length_b 3.668
_cell_length_c 7.478
_cell_angle_alpha 90.00
_cell_angle_beta 90.00
_cell_angle_gamma 90.00
_space_group_name_H-M_alt 'P 4/m m m'
_space_group_IT_number 123
_space_group_name_Hall '-P 4 2'
loop_
_atom_site_label
_atom_site_fract_x
_atom_site_fract_y
_atom_site_fract_z
Si1 0.000 0.000 0.000
Sb1 0.000 0.000 0.500
Te1 0.500 0.500 0.229
# Energy relative to the elements, uncorrected, eV per atom: 0.37
# Mass density, Mg/m³: 6.69
# Excess energy over the best structure of this formula in the dataset, eV/atom: 0.2477

---

No. 2
# Mg2TeSe2 | Alexandria | PBE | relaxed
data_Mg2TeSe2
_cell_length_a 5.196
_cell_length_b 5.196
_cell_length_c 9.311
_cell_angle_alpha 90.00
_cell_angle_beta 90.00
_cell_angle_gamma 90.00
_space_group_name_H-M_alt 'I 4/m m m'
_space_group_IT_number 139
_space_group_name_Hall '-I 4 2'
loop_
_atom_site_label
_atom_site_fract_x
_atom_site_fract_y
_atom_site_fract_z
Mg1 0.000 0.500 0.250
Te1 0.000 0.000 0.000
Se1 0.000 0.000 0.316
# Energy relative to the elements, uncorrected, eV per atom: -0.71
# Mass density, Mg/m³: 4.41

---

No. 3
# La6Pm4Tm | Alexandria | PBE | relaxed
data_La6Pm4Tm
_cell_length_a 7.003
_cell_length_b 7.003
_cell_length_c 16.328
_cell_angle_alpha 90.00
_cell_angle_beta 90.00
_cell_angle_gamma 90.00
_space_group_name_H-M_alt 'I -4 2 m'
_space_group_IT_number 121
_space_group_name_Hall 'I -4 2'
loop_
_atom_site_label
_atom_site_fract_x
_atom_site_fract_y
_atom_site_fract_z
La1 0.000 0.500 0.000
La2 0.189 0.189 0.182
Pm1 0.171 0.171 0.394
Tm1 0.000 0.000 0.000
# Mass density, Mg/m³: 6.56
# Excess energy over the best structure of this formula in the dataset, eV/atom: 0.1557

---

No. 4
# HoZrS2O | Alexandria | PBE | relaxed
data_HoZrS2O
_cell_length_a 3.743
_cell_length_b 3.743
_cell_length_c 13.158
_cell_angle_alpha 90.00
_cell_angle_beta 90.00
_cell_angle_gamma 90.00
_space_group_name_H-M_alt 'P 4/n m m'
_space_group_IT_number 129
loop_
_space_group_symop_operation_xyz
'x,y,z'
'-x,-y,-z'
'-y+1/2,x,z'
'y+1/2,-x,-z'
'-x+1/2,-y+1/2,z'
'x+1/2,y+1/2,-z'
'y,-x+1/2,z'
'-y,x+1/2,-z'
'x+1/2,-y,-z'
'-x+1/2,y,z'
'-y,-x,-z'
'y,x,z'
'-x,y+1/2,-z'
'x,-y+1/2,z'
'y+1/2,x+1/2,-z'
'-y+1/2,-x+1/2,z'
loop_
_atom_site_label
_atom_site_fract_x
_atom_site_fract_y
_atom_site_fract_z
Ho1 0.250 0.250 0.089
Zr1 0.250 0.250 0.605
S1 0.250 0.250 0.397
S2 0.250 0.250 0.791
O1 0.250 0.750 0.000
# Energy relative to the elements, uncorrected, eV per atom: -2.29
# Mass density, Mg/m³: 6.06